1.
First-principles (GGA-PBE) data for an optimized crystal structure of SrScFe2, as listed in Alexandria.

As for the volume: 24.4 A^3/atom. The spin magnetization is 0.002 μB/atom. The density of states at the Fermi level comes out at 5.5 states/eV/f.u. The calculation puts the total energy at -5.83 eV per atom.

The space group is C2/m (No. 12) and the conventional cell measures 9.037, 3.810 and 6.533 Å, with angles of 90.00, 119.94 and 90.00 degrees. Symmetry generates all atoms from Sr at (0.000, 0.000, 0.000), Sc at (0.000, 0.500, 0.500) and Fe at (0.246, 0.500, 0.427).

2.
First-principles (GGA-PBE) data for an optimized crystal structure of ZnI2N2, as listed in Alexandria.

As for the volume: 28.9 A^3/atom. The spin magnetization is 0.934 μB/atom. The density of states at the Fermi level comes out at 3.1 states/eV/f.u. For the energy relative to the lowest polymorph listed for this composition, the calculation gives 1.895 eV per atom. The calculation puts the formation energy (no corrections) at 1619 meV/atom.

The space group is P4/mmm (No. 123) and the conventional cell measures 6.351, 6.351 and 3.589 Å, with angles of 90.00, 90.00 and 90.00 degrees. Symmetry generates all atoms from Zn at (0.000, 0.000, 0.000), I at (0.000, 0.500, 0.000), N at (0.000, 0.000, 0.500) and N at (0.500, 0.500, 0.500).

3.
First-principles (GGA-PBE) data for an optimized crystal structure of Tm2AlGa2Ni5, as listed in Alexandria.

As for the volume: 15.1 A^3/atom. The spin magnetization is 0.000 μB/atom. The density of states at the Fermi level comes out at 7.0 states/eV/f.u. The calculation puts the total energy at -5.20 eV per atom.

The space group is P4/mbm (No. 127) and the conventional cell measures 9.492, 9.492 and 3.362 Å, with angles of 90.00, 90.00 and 90.00 degrees. Symmetry generates all atoms from Tm at (0.176, 0.324, 0.000), Al at (0.000, 0.000, 0.000), Ga at (0.123, 0.623, 0.000), Ni at (0.000, 0.500, 0.500) and Ni at (0.055, 0.800, 0.500).

4.
First-principles (GGA-PBE) data for an optimized crystal structure of ZnAgHg2, as listed in Alexandria.

As for the volume: 20.8 A^3/atom. The spin magnetization is 0.000 μB/atom. The density of states at the Fermi level comes out at 1.0 states/eV/f.u. The calculation puts the total energy at -1.03 eV per atom.

The space group is Pmmm (No. 47) and the conventional cell measures 3.246, 4.710 and 5.431 Å, with angles of 90.00, 90.00 and 90.00 degrees. Symmetry generates all atoms from Zn at (0.000, 0.000, 0.000), Ag at (0.500, 0.000, 0.500), Hg at (0.000, 0.500, 0.500) and Hg at (0.500, 0.500, 0.000).

5.
First-principles (GGA-PBE) data for an optimized crystal structure of Y4Al2P, as listed in Alexandria.

As for the volume: 26.0 A^3/atom. The spin magnetization is 0.000 μB/atom. The density of states at the Fermi level comes out at 6.4 states/eV/f.u. The calculation puts the total energy at -6.21 eV per atom.

The space group is C2/m (No. 12) and the conventional cell measures 12.145, 4.122 and 8.743 Å, with angles of 90.00, 123.70 and 90.00 degrees. Symmetry generates all atoms from Y at (0.089, 0.000, 0.365), Y at (0.173, 0.500, 0.079), Al at (0.122, 0.500, 0.658) and P at (0.000, 0.000, 0.000).

6.
First-principles (GGA-PBE) data for an optimized crystal structure of CdFe, as listed in Alexandria.

As for the volume: 17.4 A^3/atom. The spin magnetization is 1.261 μB/atom. The density of states at the Fermi level comes out at 1.6 states/eV/f.u. The calculation puts the total energy at -4.20 eV per atom.

The space group is Fddd (No. 70, origin choice 2) and the conventional cell measures 4.904, 7.969 and 14.233 Å, with angles of 90.00, 90.00 and 90.00 degrees. Symmetry generates all atoms from Cd at (0.125, 0.294, 0.125) and Fe at (0.125, 0.125, 0.543).

7.
First-principles (GGA-PBE) data for an optimized crystal structure of Pm2ScGa, as listed in Alexandria.

As for the volume: 28.7 A^3/atom. The spin magnetization is 0.231 μB/atom. The density of states at the Fermi level comes out at 5.3 states/eV/f.u. For the energy relative to the lowest polymorph listed for this composition, the calculation gives 0.135 eV per atom.

The space group is R3m (No. 160, hexagonal axes) and the conventional cell measures 3.6098, 3.6098 and 30.4845 Å, with angles of 90.00, 90.00 and 120.00 degrees. Symmetry generates all atoms from Pm at (0.0000, 0.0000, 0.0000), Pm at (0.0000, 0.0000, 0.1834), Sc at (0.0000, 0.0000, 0.4250) and Ga at (0.0000, 0.0000, 0.5915).

8.
First-principles (GGA-PBE) data for an optimized crystal structure of Y12GaFe6, as listed in Alexandria.

As for the volume: 24.1 A^3/atom. The spin magnetization is 0.356 μB/atom. The density of states at the Fermi level comes out at 17.6 states/eV/f.u. The calculation puts the total energy at -6.98 eV per atom.

The space group is Im-3 (No. 204) and the conventional cell measures 9.706, 9.706 and 9.706 Å, with angles of 90.00, 90.00 and 90.00 degrees. Symmetry generates all atoms from Y at (0.000, 0.194, 0.296), Ga at (0.000, 0.000, 0.000) and Fe at (0.000, 0.391, 0.500).